A geometry-optimized Lu2CoN structure. Source: OQMD via LeMat-Bulk, functional GGA-PBE.

Energy: -6.936 eV per atom
Size of the total moment: 0.002 μB per atom
E above lowest polymorph: 0.0 kJ per mole of atoms

a b c (Å): 9.916 5.715 13.753
angles (deg): 90.00 104.34 90.00
Space group C2/c (No. 15)
Symmetry-distinct sites (fractional):
Lu  0.041  0.082  0.382
Lu  0.116  0.414  0.596
Lu  0.218  0.418  0.904
Co  0.000  0.425  0.750
Co  0.243  0.158  0.750
N  0.080  0.241  0.000
N  0.250  0.250  0.500



A geometry-optimized Li4ZnSn2Ir structure. Source: OQMD via LeMat-Bulk, functional GGA-PBE.

Energy: -3.592 eV per atom
Size of the total moment: 0.000 μB per atom

a b c (Å): 4.489 4.489 6.381
angles (deg): 90.00 90.00 90.00
Space group P-4m2 (No. 115)
Symmetry-distinct sites (fractional):
Li  0.000  0.000  0.000
Li  0.000  0.500  0.246
Li  0.500  0.500  0.500
Zn  0.000  0.000  0.500
Sn  0.000  0.500  0.765
Ir  0.500  0.500  0.000



Among the records above, which one has the highest size of the total moment?
Lu2CoN